Computed, not measured: an optimized crystal structure of Fe2Ge3O8 at the PBE with a Hubbard U level of DFT.

Properties
E_tot ... -6.557 eV per atom
Size of the total moment ... 8.01 μB per cell
Space group ... C2/m

a = 5.898 Å, b = 5.898 Å, c = 4.970 Å
α = 102.03°, β = 102.03°, γ = 59.06°
Positions (direct):
Fe 0.214 0.214 0.122
Fe 0.786 0.786 0.878
Ge 0.241 0.759 0.500
Ge 0.500 0.500 0.000
Ge 0.759 0.241 0.500
O 0.104 0.104 0.408
O 0.165 0.613 0.128
O 0.387 0.835 0.872
O 0.401 0.401 0.623
O 0.599 0.599 0.377
O 0.613 0.165 0.128
O 0.835 0.387 0.872
O 0.896 0.896 0.592